DFT (GGA-PBE) results for a geometry-optimized Li2TbTmTe4 structure.

a = 4.331 Å, b = 7.496 Å, c = 7.483 Å
α = 109.47°, β = 90.00°, γ = 90.00°
Element x y z (fractional)
Li1 0.500 0.000 0.500
Li2 0.000 0.500 0.500
Tb1 0.000 0.000 0.000
Tm1 0.500 0.500 0.000
Te1 0.500 0.255 0.255
Te2 0.500 0.745 0.745
Te3 0.000 0.253 0.747
Te4 0.000 0.747 0.253

Computed properties:
As for the volume: 229.1 Å³ per cell. The space group is No. 10. The energy comes out at -4.47 eV per atom.

=====

DFT (GGA-PBE) results for a geometry-optimized Li3TbTm2Te6 structure.

a = 7.482 Å, b = 7.482 Å, c = 7.480 Å
α = 99.60°, β = 99.60°, γ = 120.00°
Element x y z (fractional)
Li1 0.166 0.834 0.500
Li2 0.834 0.166 0.500
Li3 0.500 0.500 0.500
Tb1 0.000 0.000 0.000
Tm1 0.333 0.667 0.000
Tm2 0.667 0.333 0.000
Te1 0.915 0.578 0.746
Te2 0.747 0.747 0.254
Te3 0.085 0.422 0.254
Te4 0.578 0.915 0.746
Te5 0.253 0.253 0.746
Te6 0.422 0.085 0.254

Computed properties:
As for the volume: 341.9 Å³ per cell. The space group is No. 12. The energy comes out at -4.46 eV per atom.

=====

DFT (GGA-PBE) results for a geometry-optimized Li3Tb2TmTe6 structure.

a = 7.515 Å, b = 7.515 Å, c = 7.489 Å
α = 99.63°, β = 99.63°, γ = 120.00°
Element x y z (fractional)
Li1 0.167 0.833 0.500
Li2 0.833 0.167 0.500
Li3 0.500 0.500 0.500
Tb1 0.333 0.667 0.000
Tb2 0.667 0.333 0.000
Tm1 0.000 0.000 0.000
Te1 0.915 0.585 0.745
Te2 0.755 0.755 0.255
Te3 0.085 0.415 0.255
Te4 0.585 0.915 0.745
Te5 0.245 0.245 0.745
Te6 0.415 0.085 0.255

Computed properties:
As for the volume: 345.2 Å³ per cell. The space group is No. 12. The energy comes out at -4.48 eV per atom.

=====

DFT (GGA-PBE) results for a geometry-optimized Li3Tb2UTe6 structure.

a = 7.554 Å, b = 7.554 Å, c = 7.502 Å
α = 99.65°, β = 99.65°, γ = 119.99°
Element x y z (fractional)
Li1 0.166 0.834 0.500
Li2 0.834 0.166 0.500
Li3 0.500 0.500 0.500
Tb1 0.333 0.667 0.000
Tb2 0.667 0.333 0.000
U1 0.000 0.000 0.000
Te1 0.914 0.578 0.742
Te2 0.750 0.750 0.258
Te3 0.086 0.422 0.258
Te4 0.578 0.914 0.742
Te5 0.250 0.250 0.742
Te6 0.422 0.086 0.258

Computed properties:
As for the volume: 349.3 Å³ per cell. The space group is No. 12. The energy comes out at -4.86 eV per atom. As for the density of states at the Fermi level: 6.94 states/eV/cell.

=====

> The lowest energy belongs to which entry?

Li3Tb2UTe6

=====

> What is the energy in the second record?

-4.46 eV per atom